AcZn4Pt, optimized geometry, DFT PBE-GGA; magnetization = 0.00 μB/f.u.; E_form = -0.254 eV/atom; energy above the lowest structure with this stoichiometry = 180.8 meV per atom; mass density = 9.9 Mg/m³; E_tot = -2.7950 eV/atom
1.0
-3.689 -1.542 3.697
-2.186 -4.981 -0.249
1.296 -3.732 3.748
Ac Zn Pt
1 4 1
Direct
0.000 0.000 0.000
0.622 0.622 0.133
0.622 0.133 0.622
0.622 0.622 0.622
0.133 0.622 0.622
0.250 0.250 0.250

Pr2Ga3Ni2, optimized geometry, DFT PBE-GGA; magnetization = 0.00 μB/f.u.; E_form = -0.504 eV/atom; energy above the lowest structure with this stoichiometry = 33.1 meV per atom; mass density = 7.3 Mg/m³; E_tot = -4.8190 eV/atom
1.0
-2.951 0.475 -3.053
-0.713 -6.954 -0.392
-5.134 0.077 7.964
Pr Ga Ni
4 6 4
Direct
0.163 0.250 0.325
0.837 0.750 0.675
0.940 0.250 0.881
0.060 0.750 0.119
0.223 0.750 0.446
0.777 0.250 0.554
0.562 0.431 0.125
0.438 0.569 0.875
0.438 0.931 0.875
0.562 0.069 0.125
0.693 0.941 0.386
0.307 0.059 0.614
0.307 0.441 0.614
0.693 0.559 0.386

VAg3I, optimized geometry, DFT PBE-GGA; magnetization = 3.79 μB/f.u.; raw formation energy = 102.4 kJ/mol of atoms; energy above the lowest structure with this stoichiometry = 0.0 meV per atom; mass density = 6.0 Mg/m³; E_tot = -2.7834 eV/atom
1.0
-4.444 2.093 1.613
-2.341 -1.654 -4.303
-1.226 -4.429 2.369
I Ag V
1 3 1
Direct
0.500 0.500 0.500
0.000 0.500 0.000
0.000 0.000 0.500
0.500 0.000 0.000
0.000 0.000 0.000

SmZr3Ir2, optimized geometry, DFT PBE-GGA; magnetization = 0.00 μB/f.u.; E_form = -0.655 eV/atom; energy above the lowest structure with this stoichiometry = 0.0 meV per atom; mass density = 10.2 Mg/m³; E_tot = -8.6692 eV/atom
1.0
4.545 0.000 0.000
0.000 6.904 0.000
0.000 0.000 8.362
Sm Zr Ir
2 6 4
Direct
0.500 0.510 0.572
0.500 0.010 0.428
0.000 0.490 0.926
0.000 0.990 0.074
0.500 0.648 0.161
0.500 0.148 0.839
0.000 0.353 0.321
0.000 0.853 0.679
0.500 0.757 0.846
0.500 0.257 0.154
0.000 0.242 0.672
0.000 0.742 0.328

Pm5Pr2Y, optimized geometry, DFT PBE-GGA; magnetization = 0.00 μB/f.u.; E_form = 0.148 eV/atom; energy above the lowest structure with this stoichiometry = 24.7 meV per atom; mass density = 6.5 Mg/m³; E_tot = -4.8241 eV/atom
1.0
-5.073 -3.515 8.083
3.188 -5.872 -0.553
5.997 9.086 1.318
Pm Pr Y
10 4 2
Direct
0.489 0.455 0.802
0.938 0.750 0.000
0.062 0.250 0.000
0.885 0.623 0.597
0.115 0.377 0.403
0.711 0.123 0.597
0.289 0.877 0.403
0.511 0.545 0.198
0.313 0.955 0.802
0.687 0.045 0.198
0.175 0.467 0.839
0.664 0.967 0.839
0.825 0.533 0.161
0.336 0.033 0.161
0.000 0.000 0.500
0.500 0.500 0.500

LaSiHRh, optimized geometry, DFT PBE-GGA; magnetization = 0.00 μB/f.u.; mass density = 6.7 Mg/m³; E_tot = -6.1913 eV/atom
1.0
4.100 0.000 0.000
0.000 4.100 0.000
0.000 0.000 8.003
La Si H Rh
2 2 2 2
Direct
0.500 0.000 0.666
0.000 0.500 0.334
0.000 0.500 0.842
0.500 0.000 0.158
0.000 0.000 0.500
0.500 0.500 0.500
0.500 0.500 0.000
0.000 0.000 0.000

- E_tot of number 6 (LaSiHRh)?
  -6.1913 eV/atom

- Look up the mass density of the third one.
  6.0 Mg/m³

- The highest E_tot belongs to which entry?
  VAg3I

- What is the formula in the sixth record?
  LaSiHRh